Entry from the Alexandria database: a geometry-optimized CoH8I2O10 structure (PBE with a Hubbard U).

V = 10.6 A^3/atom
Energy relative to the lowest polymorph listed for this composition = 0.0718 eV per atom
Space-group type = P2_1/c

Cell: 8.735 5.985 8.616 Å, 90.00 97.12 90.00°
Fractional coordinates of all 42 atoms:
Co (0.000, 0.000, 0.000)
Co (0.000, 0.500, 0.500)
H (0.016, 0.124, 0.294)
H (0.016, 0.376, 0.794)
H (0.150, 0.521, 0.265)
H (0.150, 0.979, 0.765)
H (0.273, 0.577, 0.713)
H (0.273, 0.923, 0.213)
H (0.297, 0.710, 0.000)
H (0.297, 0.790, 0.500)
H (0.703, 0.210, 0.500)
H (0.703, 0.290, 0.000)
H (0.727, 0.077, 0.787)
H (0.727, 0.423, 0.287)
H (0.850, 0.021, 0.235)
H (0.850, 0.479, 0.735)
H (0.984, 0.624, 0.206)
H (0.984, 0.876, 0.706)
I (0.317, 0.217, 0.534)
I (0.317, 0.283, 0.034)
I (0.683, 0.717, 0.966)
I (0.683, 0.783, 0.466)
O (0.063, 0.608, 0.300)
O (0.063, 0.892, 0.800)
O (0.108, 0.205, 0.467)
O (0.108, 0.295, 0.967)
O (0.249, 0.553, 0.598)
O (0.249, 0.947, 0.098)
O (0.321, 0.115, 0.734)
O (0.321, 0.385, 0.234)
O (0.343, 0.586, 0.941)
O (0.343, 0.914, 0.441)
O (0.657, 0.086, 0.559)
O (0.657, 0.414, 0.059)
O (0.679, 0.615, 0.766)
O (0.679, 0.885, 0.266)
O (0.751, 0.053, 0.902)
O (0.751, 0.447, 0.402)
O (0.892, 0.705, 0.033)
O (0.892, 0.795, 0.533)
O (0.937, 0.108, 0.200)
O (0.937, 0.392, 0.700)

=====

Entry from the Alexandria database: a geometry-optimized CoHIO2 structure (PBE with a Hubbard U).

V = 19.6 A^3/atom
Energy relative to the lowest polymorph listed for this composition = 0.0000 eV per atom
Space-group type = P4/mmm

Cell: 3.546 3.546 7.805 Å, 90.00 90.00 90.00°
Fractional coordinates of all 5 atoms:
Co (0.000, 0.000, 0.000)
H (0.500, 0.500, 0.500)
I (0.000, 0.000, 0.500)
O (0.000, 0.500, 0.000)
O (0.500, 0.000, 0.000)

=====

Entry from the Alexandria database: a geometry-optimized CoH8I2O10 structure (PBE with a Hubbard U).

V = 11.2 A^3/atom
Energy relative to the lowest polymorph listed for this composition = 0.0000 eV per atom
Space-group type = P2_1/c

Cell: 8.468 6.584 8.531 Å, 90.00 99.15 90.00°
Fractional coordinates of all 42 atoms:
Co (0.000, 0.000, 0.000)
Co (0.000, 0.500, 0.500)
H (0.009, 0.121, 0.307)
H (0.009, 0.379, 0.807)
H (0.157, 0.506, 0.261)
H (0.157, 0.994, 0.761)
H (0.267, 0.608, 0.723)
H (0.267, 0.892, 0.223)
H (0.277, 0.715, 0.555)
H (0.277, 0.785, 0.055)
H (0.723, 0.215, 0.945)
H (0.723, 0.285, 0.445)
H (0.733, 0.108, 0.777)
H (0.733, 0.392, 0.277)
H (0.843, 0.006, 0.239)
H (0.843, 0.494, 0.739)
H (0.991, 0.621, 0.193)
H (0.991, 0.879, 0.693)
I (0.332, 0.178, 0.528)
I (0.332, 0.322, 0.028)
I (0.668, 0.678, 0.972)
I (0.668, 0.822, 0.472)
O (0.066, 0.583, 0.292)
O (0.066, 0.917, 0.792)
O (0.114, 0.216, 0.473)
O (0.114, 0.284, 0.973)
O (0.241, 0.591, 0.607)
O (0.241, 0.909, 0.107)
O (0.337, 0.115, 0.738)
O (0.337, 0.385, 0.238)
O (0.339, 0.579, 0.942)
O (0.339, 0.921, 0.442)
O (0.661, 0.079, 0.558)
O (0.661, 0.421, 0.058)
O (0.663, 0.615, 0.762)
O (0.663, 0.885, 0.262)
O (0.759, 0.091, 0.893)
O (0.759, 0.409, 0.393)
O (0.886, 0.716, 0.027)
O (0.886, 0.784, 0.527)
O (0.934, 0.083, 0.208)
O (0.934, 0.417, 0.708)

=====

Entry from the Alexandria database: a geometry-optimized CoHIO2 structure (PBE with a Hubbard U).

V = 12.2 A^3/atom
Energy relative to the lowest polymorph listed for this composition = 0.7875 eV per atom
Space-group type = P4/mmm

Cell: 4.217 4.217 3.421 Å, 90.00 90.00 90.00°
Fractional coordinates of all 5 atoms:
Co (0.000, 0.000, 0.000)
H (0.500, 0.500, 0.500)
I (0.500, 0.500, 0.000)
O (0.000, 0.500, 0.500)
O (0.500, 0.000, 0.500)

=====

Look up the energy relative to the lowest polymorph listed for this composition of the third one. 0.0000 eV per atom